The following is a DFT calculation (PBE) of an optimized crystal structure of Ca3PuNb2N6.

a = 7.5066 Å, b = 7.5066 Å, c = 6.7852 Å
α = 104.90°, β = 104.90°, γ = 25.36°
Atoms (fractional coordinates):
Ca (0.0000, 0.0000, 0.0000)
Ca (0.3307, 0.3307, 0.6687)
Ca (0.6693, 0.6693, 0.3313)
Pu (0.0000, 0.0000, 0.5000)
Nb (0.3306, 0.3306, 0.1587)
Nb (0.6694, 0.6694, 0.8413)
N (0.1631, 0.1631, 0.6153)
N (0.1750, 0.1750, 0.0686)
N (0.4855, 0.4855, 0.2576)
N (0.5145, 0.5145, 0.7424)
N (0.8250, 0.8250, 0.9314)
N (0.8369, 0.8369, 0.3847)

Values from the calculation:
V: 158.0 Å³/cell
ΔE_f (raw): -1339 kJ/mol of formula units
Symmetry: No. 12
Crystal system: monoclinic
Mass density: 6.67 Mg/m³
DOS(E_F): 0.71 states/eV per atom
DFT total energy: -8.69 eV/atom